This record from Alexandria describes crystalline RbCd3Pd at its relaxed geometry. The functional is PBEsol.

The total energy is -0.780 eV/atom. The energy relative to the lowest polymorph listed for this composition is 1.452 eV per atom. The volume comes out at 45.41 Å³/atom. The formation energy comes out at 1.335 eV/atom.

Cell lengths 6.1007, 6.1007, 6.1007 Å; angles 90.00, 90.00, 90.00 degrees
Closest atoms and distances in Å follow each position.
Element x y z (fractional)
Rb 0.0000 0.0000 0.0000  6 Cd 3.05
Cd 0.0000 0.0000 0.5000  2 Rb 3.05
Cd 0.0000 0.5000 0.0000  2 Rb 3.05
Cd 0.5000 0.0000 0.0000  2 Rb 3.05
Pd 0.5000 0.5000 0.5000  12 Cd 4.31